LiZnTeI2 | GGA-PBEsol | optimized geometry

a b c (Å): 5.1649 5.2928 5.2928
angles (deg): 90.00 90.00 90.00
With the nearest neighbours (Å) after each atom.
Fractional positions:
1 I 0.0000 0.0000 0.5000  2 Li 2.65
2 I 0.0000 0.5000 0.0000  2 Li 2.65
3 Zn 0.5000 0.5000 0.5000  8 I 3.70, 4 Te 3.74
4 Te 0.5000 0.0000 0.0000  2 Li 2.58
5 Li 0.0000 0.0000 0.0000  2 Te 2.58, 4 I 2.65

Density of states at the Fermi level (states/eV per cell): 6.5
Calculated volume (A^3/atom): 28.94
Energy relative to the elements, uncorrected (eV/atom): 0.149
E (eV per cell): -9.9